[1]
{"formula": "La8InAs3I4", "functional": "GGA-PBE", "state": "optimized geometry", "cell": [[8.9322, 0.0000, 0.0000], [0.0000, 9.3012, 0.2556], [-4.4661, -4.4628, 6.3187]], "species": ["La", "La", "La", "La", "La", "La", "La", "La", "In", "As", "As", "As", "I", "I", "I", "I"], "frac_coords": [[0.2431, 0.7095, 0.9663], [0.2431, 0.7095, 0.4863], [0.2667, 0.3001, 0.5334], [0.7232, 0.7095, 0.9663], [0.2768, 0.2905, 0.0337], [0.7333, 0.6999, 0.4666], [0.7569, 0.2905, 0.5137], [0.7569, 0.2905, 0.0337], [0.0000, 0.5000, 0.0000], [0.5000, 0.5000, 0.0000], [0.5000, 0.5000, 0.5000], [0.0000, 0.5000, 0.5000], [0.5000, 0.0000, 0.0000], [0.5000, 0.0000, 0.5000], [0.0000, 0.0000, 0.0000], [0.0000, 0.0000, 0.5000]], "energy_ev_per_cell": -81.9, "vol_a3_per_cell": 535, "magnetic_moment_mub_per_atom": 0.000, "dos_at_fermi_per_ev_cell": 10.247}



[2]
{"formula": "In2MoAsI", "functional": "GGA-PBE", "state": "optimized geometry", "cell": [[-1.3098, -5.5750, 2.2811], [5.1317, -0.6500, 1.3579], [-1.1383, 2.5214, 5.5088]], "species": ["I", "Mo", "As", "In", "In"], "frac_coords": [[0.0000, 0.0000, 0.0000], [0.0000, 0.5000, 0.0000], [0.5000, 0.5000, 0.5000], [0.0000, 0.0000, 0.5000], [0.5000, 0.0000, 0.0000]], "energy_ev_per_cell": -15.3, "vol_a3_per_cell": 203, "magnetic_moment_mub_per_atom": 0.797, "dos_at_fermi_per_ev_cell": 2.761}



[3]
{"formula": "InAsI2N", "functional": "GGA-PBE", "state": "optimized geometry", "cell": [[-1.7897, -2.7889, -5.0570], [-2.2084, -4.5614, 3.2972], [-3.5438, 1.8749, 0.2202]], "species": ["I", "I", "As", "N", "In"], "frac_coords": [[0.0000, 0.5000, 0.0000], [0.5000, 0.0000, 0.0000], [0.5000, 0.5000, 0.5000], [0.0000, 0.0000, 0.5000], [0.0000, 0.0000, 0.0000]], "energy_ev_per_cell": -13.9, "vol_a3_per_cell": 147, "magnetic_moment_mub_per_atom": 0.000, "dos_at_fermi_per_ev_cell": 9.507}



[4]
{"formula": "InAsIN2", "functional": "GGA-PBE", "state": "optimized geometry", "cell": [[4.3031, 0.0000, 0.0000], [0.0000, 4.3031, 0.0000], [0.0000, 0.0000, 7.1884]], "species": ["I", "As", "N", "N", "In"], "frac_coords": [[0.0000, 0.0000, 0.5000], [0.5000, 0.5000, 0.5000], [0.0000, 0.5000, 0.0000], [0.5000, 0.0000, 0.0000], [0.0000, 0.0000, 0.0000]], "energy_ev_per_cell": -17.6, "vol_a3_per_cell": 133, "magnetic_moment_mub_per_atom": 0.783, "dos_at_fermi_per_ev_cell": 2.736}